1.
Compound: YCdOs2
Source: Alexandria via LeMat-Bulk
Functional: PBE
Structure: relaxed

CIF file:
```
data_YCdOs2
_space_group_name_H-M_alt 'I m m m'
_space_group_IT_number 71
_space_group_name_Hall '-I 2 2'
_cell_length_a 3.2141
_cell_length_b 4.8675
_cell_length_c 9.3778
_cell_angle_alpha 90.00
_cell_angle_beta 90.00
_cell_angle_gamma 90.00
loop_
_atom_site_label
_atom_site_type_symbol
_atom_site_fract_x
_atom_site_fract_y
_atom_site_fract_z
_atom_site_occupancy
Y1 Y 0.0000 0.0000 0.0000 1
Cd1 Cd 0.0000 0.0000 0.5000 1
Os1 Os 0.0000 0.5000 0.2502 1
```

Results
**Magnetization**: 0.00 μB/f.u.
**Calculated total energy**: -6.912 eV/atom
**Formation energy from the elements**: 0.548 eV per atom

2.
Compound: YCdOs2
Source: Alexandria via LeMat-Bulk
Functional: PBE
Structure: relaxed

CIF file:
```
data_YCdOs2
_space_group_name_H-M_alt 'C m m m'
_space_group_IT_number 65
_space_group_name_Hall '-C 2 2'
_cell_length_a 5.7952
_cell_length_b 8.0636
_cell_length_c 3.1546
_cell_angle_alpha 90.00
_cell_angle_beta 90.00
_cell_angle_gamma 90.00
loop_
_atom_site_label
_atom_site_type_symbol
_atom_site_fract_x
_atom_site_fract_y
_atom_site_fract_z
_atom_site_occupancy
Y1 Y 0.0000 0.0000 0.0000 1
Cd1 Cd 0.0000 0.5000 0.0000 1
Os1 Os 0.2500 0.2500 0.5000 1
```

Results
**Magnetization**: 0.00 μB/f.u.
**Calculated total energy**: -6.908 eV/atom
**Formation energy from the elements**: 0.552 eV per atom

3.
Compound: YCd3Os
Source: Alexandria via LeMat-Bulk
Functional: PBE
Structure: relaxed

CIF file:
```
data_YCd3Os
_space_group_name_H-M_alt 'P m -3 m'
_space_group_IT_number 221
_space_group_name_Hall '-P 4 2 3'
_cell_length_a 5.1254
_cell_length_b 5.1254
_cell_length_c 5.1254
_cell_angle_alpha 90.00
_cell_angle_beta 90.00
_cell_angle_gamma 90.00
loop_
_atom_site_label
_atom_site_type_symbol
_atom_site_fract_x
_atom_site_fract_y
_atom_site_fract_z
_atom_site_occupancy
Y1 Y 0.0000 0.0000 0.0000 1
Cd1 Cd 0.0000 0.5000 0.5000 1
Os1 Os 0.5000 0.5000 0.5000 1
```

Results
**Magnetization**: 0.00 μB/f.u.
**Calculated total energy**: -3.550 eV/atom
**Formation energy from the elements**: 0.538 eV per atom
**Distance to the lowest polymorph of the same formula**: 0.000 eV per atom

Question: Which value of formation energy from the elements does entry 1 give?
Answer: 0.548 eV per atom